1.
A geometry-optimized TlBi5Au4 structure. Source: Alexandria via LeMat-Bulk, functional PBE.

Structure (extended XYZ):
```
10
Lattice="4.3918 0.0000 -1.3940 -0.5000 7.3435 -1.5752 0.5298 -1.6470 9.2840" Properties=species:S:1:pos:R:3 pbc="T T T"
Bi 0.4750 6.1144 1.4964
Bi 0.7126 2.6662 2.2450
Tl 2.1959 0.0000 -0.6970
Bi 1.9459 3.6717 -1.4846
Bi 3.7089 3.0303 4.0697
Au 1.5405 1.2357 4.8533
Bi 3.9466 -0.4179 4.8183
Au 4.5355 3.9576 6.6737
Au -0.1139 1.7389 -0.3589
Au 2.8810 4.4608 1.4615
```

Computed properties:
Electronic total energy in eV per atom: -3.504
Calculated formation energy in meV per atom: -16
Total moment in Bohr magnetons per cell: 0.0
Crystal system: monoclinic

---

2.
A geometry-optimized Tl6BiAu2 structure. Source: Alexandria via LeMat-Bulk, functional PBE.

Structure (extended XYZ):
```
9
Lattice="3.3562 0.0004 1.2459 1.8969 7.9029 0.0338 -1.5962 -0.8975 9.4361" Properties=species:S:1:pos:R:3 pbc="T T T"
Tl 0.4410 1.6023 9.0924
Tl 2.7625 0.8730 2.8437
Au 2.6209 3.6405 8.3645
Tl -0.2103 0.8059 5.7058
Tl 3.2159 5.4035 1.6235
Au 1.0360 3.3652 2.3513
Tl 3.8672 6.1999 5.0100
Tl 0.8944 6.1328 7.8721
Bi 1.8285 3.5029 5.3579
```

Computed properties:
Electronic total energy in eV per atom: -2.757
Calculated formation energy in meV per atom: -20
Total moment in Bohr magnetons per cell: 0.0
Crystal system: monoclinic

---

3.
A geometry-optimized Tl3BiAu3 structure. Source: Alexandria via LeMat-Bulk, functional PBE.

Structure (extended XYZ):
```
14
Lattice="7.3625 0.3500 2.5835 1.9422 7.1103 2.5835 0.4365 0.3500 7.7904" Properties=species:S:1:pos:R:3 pbc="T T T"
Au 8.1102 4.2664 6.2072
Bi 6.4339 5.1586 8.5581
Tl 3.1520 1.1854 7.7011
Tl 2.5750 6.1087 5.1673
Tl 6.5892 6.6249 5.2562
Au 4.9709 2.6937 9.5153
Au 5.4250 0.8216 5.5387
Au 4.7703 5.1166 3.4420
Au 4.3163 6.9887 7.4186
Tl 7.1662 1.7016 7.7900
Tl 6.8862 2.8189 3.9091
Au 1.6311 3.5439 6.7501
Bi 3.3073 2.6517 4.3992
Tl 2.8550 4.9914 9.0482
```

Computed properties:
Electronic total energy in eV per atom: -2.981
Calculated formation energy in meV per atom: -8
ΔE to the lowest computed polymorph in meV/atom: 0.0
Total moment in Bohr magnetons per cell: 0.0
Crystal system: trigonal

---

4.
A geometry-optimized TlBi2Au2 structure. Source: Alexandria via LeMat-Bulk, functional PBE.

Structure (extended XYZ):
```
5
Lattice="4.3622 0.0000 -1.8802 -0.5697 4.9668 -1.3218 0.2563 -0.5126 6.5950" Properties=species:S:1:pos:R:3 pbc="T T T"
Tl 0.0000 0.0000 0.0000
Au 3.4612 0.5053 2.0299
Au 0.5875 3.9489 1.3630
Bi 1.5194 1.9901 3.5252
Bi 2.5293 2.4641 -0.1322
```

Computed properties:
Electronic total energy in eV per atom: -3.376
Calculated formation energy in meV per atom: -40
ΔE to the lowest computed polymorph in meV/atom: 0.0
Total moment in Bohr magnetons per cell: 0.0
Crystal system: monoclinic

---

5.
A geometry-optimized Tl12Bi3Au structure. Source: Alexandria via LeMat-Bulk, functional PBE.

Structure (extended XYZ):
```
16
Lattice="4.9954 0.0000 0.0000 0.0000 4.9954 0.0000 0.0000 0.0000 19.5982" Properties=species:S:1:pos:R:3 pbc="T T T"
Bi 0.0000 0.0000 14.8222
Tl 0.0000 2.4977 7.2938
Bi 0.0000 0.0000 9.7991
Tl 0.0000 2.4977 12.3044
Bi 0.0000 0.0000 4.7760
Tl 2.4977 0.0000 2.2949
Tl 2.4977 2.4977 0.0000
Tl 2.4977 0.0000 17.3033
Tl 2.4977 2.4977 4.7766
Tl 2.4977 0.0000 12.3044
Tl 2.4977 2.4977 9.7991
Tl 0.0000 2.4977 2.2949
Tl 2.4977 2.4977 14.8216
Tl 0.0000 2.4977 17.3033
Tl 2.4977 0.0000 7.2938
Au 0.0000 0.0000 0.0000
```

Computed properties:
Electronic total energy in eV per atom: -2.711
Calculated formation energy in meV per atom: -3
Total moment in Bohr magnetons per cell: 0.0
Crystal system: tetragonal

---

6.
A geometry-optimized Tl2Bi5Au4 structure. Source: Alexandria via LeMat-Bulk, functional PBE.

Structure (extended XYZ):
```
11
Lattice="-5.4068 -0.5634 4.2458 -0.0411 -4.9777 4.8900 1.2074 3.5672 7.6137" Properties=species:S:1:pos:R:3 pbc="T T T"
Bi -4.0377 -3.8209 8.4563
Bi -0.2028 1.8471 8.2932
Tl -0.8531 -1.7572 9.8861
Tl -3.3873 -0.2166 6.8634
Au -3.0748 -2.2681 12.5921
Au -1.1657 0.2942 4.1574
Au -1.4203 -2.4882 3.4641
Bi -1.2398 -3.5294 6.2592
Bi -3.0006 1.5555 10.4903
Au -2.8202 0.5144 13.2855
Bi 0.5831 -0.7052 6.2518
```

Computed properties:
Electronic total energy in eV per atom: -3.363
Calculated formation energy in meV per atom: 23
Total moment in Bohr magnetons per cell: 0.0
Crystal system: monoclinic

---

7.
A geometry-optimized Tl2Bi2Au structure. Source: Alexandria via LeMat-Bulk, functional PBE.

Structure (extended XYZ):
```
10
Lattice="7.5897 0.0000 0.0000 0.0000 7.5897 0.0000 0.0000 0.0000 5.5170" Properties=species:S:1:pos:R:3 pbc="T T T"
Au 3.7949 3.7949 0.0000
Tl 1.2504 5.0452 2.7585
Tl 2.5445 1.2504 2.7585
Bi 2.6621 6.4570 0.0000
Tl 5.0452 6.3394 2.7585
Tl 6.3394 2.5445 2.7585
Bi 4.9276 1.1327 0.0000
Bi 6.4570 4.9276 0.0000
Bi 1.1327 2.6621 0.0000
Au 0.0000 0.0000 0.0000
```

Computed properties:
Electronic total energy in eV per atom: -3.153
Calculated formation energy in meV per atom: 2
ΔE to the lowest computed polymorph in meV/atom: 20.6
Total moment in Bohr magnetons per cell: 0.0
Crystal system: tetragonal

---

8.
A geometry-optimized Tl8BiAu6 structure. Source: Alexandria via LeMat-Bulk, functional PBE.

Structure (extended XYZ):
```
15
Lattice="7.6187 0.6355 4.2184 2.7728 7.1246 4.2184 0.8510 0.6355 8.6669" Properties=species:S:1:pos:R:3 pbc="T T T"
Au 5.1313 7.2104 10.3447
Bi 0.0000 0.0000 0.0000
Tl 7.4993 5.6003 11.4090
Au 9.0324 5.1067 8.8131
Au 6.1767 2.8725 11.7868
Tl 3.9212 4.5469 10.8745
Tl 6.7529 6.7896 7.9123
Tl 3.7432 2.7953 5.6946
Au 6.1112 1.1852 6.7589
Au 5.0657 5.5231 5.3168
Tl 4.4896 1.6060 9.1913
Au 2.2101 3.2888 8.2905
Tl 3.4303 5.9270 7.7665
Tl 7.8122 2.4686 9.3371
Tl 7.3213 3.8487 6.2291
```

Computed properties:
Electronic total energy in eV per atom: -2.845
Calculated formation energy in meV per atom: -13
Total moment in Bohr magnetons per cell: 0.0
Crystal system: trigonal

---

9.
A geometry-optimized Tl2Bi3Au4 structure. Source: Alexandria via LeMat-Bulk, functional PBE.

Structure (extended XYZ):
```
18
Lattice="-7.7243 -2.0377 1.0224 4.4265 -5.9914 2.6309 0.0989 3.2129 7.1505" Properties=species:S:1:pos:R:3 pbc="T T T"
Au -4.4826 -4.3448 3.1254
Au 1.2836 -0.4713 7.6784
Au -2.6024 -2.2659 6.4630
Bi 2.2627 -1.3892 4.8907
Au -6.2683 -0.6192 4.9413
Bi -1.6489 -4.0145 1.8266
Au 3.0693 -4.1969 5.8624
Au -0.5966 -2.5502 4.3408
Bi -4.6719 -0.3218 7.4198
Au -0.8359 -6.6139 3.2620
Tl -3.6077 -1.2165 3.4363
Au -2.3631 1.7977 7.5417
Bi 1.4729 -4.4943 3.3840
Tl -3.4376 -4.1019 9.0282
Bi -0.8273 0.1259 5.6375
Tl 0.2386 -0.7142 1.7756
Tl 0.4087 -3.5996 7.3675
Bi -2.3717 -4.9420 5.1662
```

Computed properties:
Electronic total energy in eV per atom: -3.323
Calculated formation energy in meV per atom: -47
Total moment in Bohr magnetons per cell: 0.0
Crystal system: monoclinic

---

10.
A geometry-optimized Tl2Bi2Au3 structure. Source: Alexandria via LeMat-Bulk, functional PBE.

Structure (extended XYZ):
```
7
Lattice="0.4382 -3.6608 -2.7755 -1.4735 -3.8305 4.8197 -8.1936 -0.6118 3.3498" Properties=species:S:1:pos:R:3 pbc="T T T"
Bi -2.5281 -2.3427 2.6907
Tl -1.6433 -2.5178 -0.7751
Au -3.8714 -4.6281 1.6564
Bi -6.7008 -5.7605 2.7033
Au -5.3575 -3.4751 3.7376
Tl -7.5856 -5.5853 6.1691
Au 0.0000 0.0000 0.0000
```

Computed properties:
Electronic total energy in eV per atom: -3.230
Calculated formation energy in meV per atom: -41
Total moment in Bohr magnetons per cell: 0.0
Crystal system: monoclinic

---

11.
A geometry-optimized TlBiAu2 structure. Source: Alexandria via LeMat-Bulk, functional PBE.

Structure (extended XYZ):
```
8
Lattice="4.4912 0.0000 0.0000 0.0000 5.8332 0.0000 0.0000 0.0000 7.5643" Properties=species:S:1:pos:R:3 pbc="T T T"
Bi 0.0000 0.7135 5.1553
Tl 2.2456 3.6192 6.2007
Au 2.2456 0.5755 7.2364
Bi 0.0000 5.1197 1.3731
Au 0.0000 3.4370 4.1004
Au 2.2456 5.2577 3.4542
Au 0.0000 2.3962 0.3183
Tl 2.2456 2.2140 2.4186
```

Computed properties:
Electronic total energy in eV per atom: -3.239
Calculated formation energy in meV per atom: -38
Total moment in Bohr magnetons per cell: 0.0
Crystal system: orthorhombic

---

12.
A geometry-optimized Tl5BiAu3 structure. Source: Alexandria via LeMat-Bulk, functional PBE.

Structure (extended XYZ):
```
18
Lattice="7.0817 0.0000 0.0000 -3.5408 7.4825 -2.4360 0.0000 -0.0199 9.7969" Properties=species:S:1:pos:R:3 pbc="T T T"
Au 0.1110 5.0223 4.9011
Tl -1.7556 4.9457 7.2838
Tl 5.3801 2.5302 4.8380
Au 0.0000 0.0000 0.0000
Tl 1.7016 2.5402 -0.0604
Tl 1.8392 4.9224 7.4213
Au 0.0000 -0.0100 4.8985
Bi 1.6461 -0.0050 2.4492
Bi 5.4355 -0.0149 7.3477
Tl -1.8392 4.9323 2.5229
Au 3.6519 2.4303 7.3583
Au -0.1110 5.0323 0.0026
Tl 1.8660 -0.0149 7.3477
Tl 5.2965 2.5169 0.0771
Tl 1.7556 4.9556 2.3853
Tl 5.2156 -0.0050 2.4492
Au 3.4298 2.4402 2.4598
Tl 1.7852 2.5069 4.9756
```

Computed properties:
Electronic total energy in eV per atom: -2.882
Calculated formation energy in meV per atom: -43
Total moment in Bohr magnetons per cell: 0.0
Crystal system: monoclinic

---

Q: calculated formation energy of number 3 (Tl3BiAu3)?
A: -8 meV per atom

---

Q: What is the formula in the twelfth record?
A: Tl5BiAu3

---

Q: Among the records above, which one has the highest calculated formation energy?
A: Tl2Bi5Au4